The following is a DFT calculation (PBE-GGA) of crystalline RbAcZnO3 at its relaxed geometry.

The structure belongs to space group P2_1/m (No. 11); the cell edges are 8.2765, 3.8342 and 8.2838 Å and the angles 90.00°, 101.31° and 90.00°. The asymmetric unit holds Rb at (0.1741, 0.2500, 0.1948), Ac at (0.3559, 0.7500, 0.8299), Zn at (0.0740, 0.2500, 0.6097), O at (0.1474, 0.7500, 0.5332), O at (0.1554, 0.2500, 0.8435) and O at (0.4451, 0.7500, 0.1298).

The value obtained for the total energy is -67.85 eV/cell. The uncorrected formation energy comes out at -2.117 eV/atom. For the calculated density, the calculation gives 5.49 g/cm³.


The following is a DFT calculation (PBE-GGA) of crystalline Rb2AcZn2O4 at its relaxed geometry.

The structure belongs to space group C2/m (No. 12); the cell edges are 14.3064, 3.8452 and 6.8566 Å and the angles 90.00°, 101.52° and 90.00°. The asymmetric unit holds Rb at (0.1384, 0.0000, 0.0623), Ac at (0.0000, 0.0000, 0.5000), Zn at (0.1859, 0.5000, 0.4971), O at (0.0548, 0.5000, 0.3144) and O at (0.1902, 0.0000, 0.6397).

The value obtained for the total energy is -86.28 eV/cell. The uncorrected formation energy comes out at -1.635 eV/atom. For the calculated density, the calculation gives 5.33 g/cm³.


The following is a DFT calculation (PBE-GGA) of crystalline RbAc2Zn2O6 at its relaxed geometry.

The structure belongs to space group P-1 (No. 2); the cell edges are 6.4548, 6.8139 and 6.9342 Å and the angles 96.86°, 116.92° and 113.57°. The asymmetric unit holds Rb at (0.0000, 0.0000, 0.0000), Ac at (0.3790, 0.6768, 0.3086), Zn at (0.2579, 0.7151, 0.7225), O at (0.1116, 0.6501, 0.8983), O at (0.2884, 0.9072, 0.5491) and O at (0.4661, 0.5943, 0.6822).

The value obtained for the total energy is -64.28 eV/cell. The uncorrected formation energy comes out at -2.072 eV/atom. For the calculated density, the calculation gives 5.49 g/cm³.


The following is a DFT calculation (PBE-GGA) of crystalline Rb3Ac2ZrO6 at its relaxed geometry.

The structure belongs to space group C2/m (No. 12); the cell edges are 6.4442, 11.2065 and 7.0813 Å and the angles 90.00°, 107.07° and 90.00°. The asymmetric unit holds Rb at (0.0000, 0.0000, 0.0000), Rb at (0.0000, 0.3430, 0.0000), Ac at (0.0000, 0.1669, 0.5000), Zr at (0.0000, 0.5000, 0.5000), O at (0.1999, 0.3548, 0.6651) and O at (0.2367, 0.5000, 0.3322).

The value obtained for the total energy is -157.34 eV/cell. The uncorrected formation energy comes out at -2.438 eV/atom. For the calculated density, the calculation gives 6.10 g/cm³.


The following is a DFT calculation (PBE-GGA) of crystalline RbAcZrO4 at its relaxed geometry.

The structure belongs to space group Cmcm (No. 63); the cell edges are 5.9414, 13.4159 and 5.9795 Å and the angles 90.00°, 90.00° and 90.00°. The asymmetric unit holds Rb at (0.0000, 0.0963, 0.2500), Ac at (0.0000, 0.3935, 0.2500), Zr at (0.0000, 0.2487, 0.7500), O at (0.0000, 0.1004, 0.7500), O at (0.0000, 0.4274, 0.7500) and O at (0.2500, 0.2500, 0.0000).

The value obtained for the total energy is -213.70 eV/cell. The uncorrected formation energy comes out at -2.853 eV/atom. For the calculated density, the calculation gives 6.52 g/cm³.


The following is a DFT calculation (PBE-GGA) of crystalline Rb3Ac3ZrO8 at its relaxed geometry.

The structure belongs to space group R-3m (No. 166, hexagonal axes); the cell edges are 7.4713, 7.4713 and 20.0339 Å and the angles 90.00°, 90.00° and 120.00°. The asymmetric unit holds Rb at (0.0000, 0.5000, 0.0000), Ac at (0.0000, 0.5000, 0.5000), Zr at (0.0000, 0.0000, 0.5000), O at (0.0000, 0.0000, 0.2286) and O at (0.0419, 0.5209, 0.2223).

The value obtained for the total energy is -311.55 eV/cell. The uncorrected formation energy comes out at -2.694 eV/atom. For the calculated density, the calculation gives 5.95 g/cm³.


The following is a DFT calculation (PBE-GGA) of crystalline AcRe2O7 at its relaxed geometry.

The structure belongs to space group Cmmm (No. 65); the cell edges are 6.3757, 10.0167 and 3.8352 Å and the angles 90.00°, 90.00° and 90.00°. The asymmetric unit holds Ac at (0.0000, 0.0000, 0.0000), Re at (0.0000, 0.3099, 0.5000), O at (0.0000, 0.3040, 0.0000), O at (0.0000, 0.5000, 0.5000) and O at (0.1825, 0.1415, 0.5000).

The value obtained for the total energy is -167.69 eV/cell. The uncorrected formation energy comes out at -2.013 eV/atom. For the calculated density, the calculation gives 9.65 g/cm³.


The following is a DFT calculation (PBE-GGA) of crystalline AcRe4O12 at its relaxed geometry.

The structure belongs to space group Im-3m (No. 229); the cell edges are 7.7458, 7.7458 and 7.7458 Å and the angles 90.00°, 90.00° and 90.00°. The asymmetric unit holds Ac at (0.0000, 0.0000, 0.0000), Re at (0.2500, 0.2500, 0.2500) and O at (0.0000, 0.2465, 0.2465).

The value obtained for the total energy is -289.13 eV/cell. The uncorrected formation energy comes out at -1.833 eV/atom. For the calculated density, the calculation gives 8.32 g/cm³.